# U2MnF11

U2MnF11 after structural relaxation (PBE+U, the Alexandria database).

- M_tot: 16.000 Bohr magnetons per cell
- E_tot: -195.45 eV for the cell shown
- Crystal system: orthorhombic

Cell: 8.561 8.527 8.527 Å, 72.81 59.87 59.87°
Fractional positions:
F 0.405 0.782 0.939
F 0.721 0.695 0.028
F 0.500 0.500 0.500
F 0.095 0.561 0.718
F 0.000 0.000 0.000
F 0.944 0.805 0.472
F 0.626 0.718 0.561
F 0.126 0.061 0.218
F 0.279 0.305 0.972
F 0.866 0.791 0.209
F 0.366 0.709 0.291
F 0.779 0.472 0.805
F 0.056 0.195 0.528
F 0.556 0.028 0.695
F 0.874 0.939 0.782
F 0.444 0.972 0.305
F 0.374 0.282 0.439
F 0.595 0.218 0.061
F 0.134 0.209 0.791
F 0.221 0.528 0.195
F 0.634 0.291 0.709
F 0.905 0.439 0.282
Mn 0.250 0.250 0.250
Mn 0.750 0.750 0.750
U 0.352 0.312 0.688
U 0.648 0.688 0.312
U 0.852 0.188 0.812
U 0.148 0.812 0.188